Entry 1:
The following is a PBE calculation of a geometry-optimized Re2OsI structure, from Alexandria via LeMat-Bulk.

Properties
E_form (uncorrected)	1.34	eV per atom
raw total energy	-32.3	eV/cell
symmetry	Fm-3m (225)
offset from the most stable computed form	0.0000	eV/atom
density	17.351	g/cm3

a b c (Å): 4.536 4.536 4.536
angles (deg): 60.00 60.00 60.00
Fractional positions:
1 Os 0.500 0.500 0.500
2 Re 0.750 0.750 0.750
3 Re 0.250 0.250 0.250
4 I 0.000 0.000 0.000

=====

Entry 2:
The following is a PBE calculation of a geometry-optimized ReOs3I structure, from Alexandria via LeMat-Bulk.

Properties
E_form (uncorrected)	2.41	eV per atom
raw total energy	-35.7	eV/cell
symmetry	Pm-3m (221)
offset from the most stable computed form	0.0000	eV/atom
density	13.458	g/cm3

a b c (Å): 4.778 4.778 4.778
angles (deg): 90.00 90.00 90.00
Fractional positions:
1 Os 0.000 0.500 0.000
2 Os 0.500 0.000 0.000
3 Os 0.000 0.000 0.500
4 Re 0.000 0.000 0.000
5 I 0.500 0.500 0.500

=====

Entry 3:
The following is a PBE calculation of a geometry-optimized Re3OsI structure, from Alexandria via LeMat-Bulk.

Properties
E_form (uncorrected)	2.39	eV per atom
raw total energy	-38.2	eV/cell
symmetry	Pm-3m (221)
offset from the most stable computed form	0.0000	eV/atom
density	13.154	g/cm3

a b c (Å): 4.799 4.799 4.799
angles (deg): 90.00 90.00 90.00
Fractional positions:
1 Re 0.000 0.500 0.000
2 Re 0.000 0.000 0.500
3 Re 0.500 0.000 0.000
4 I 0.500 0.500 0.500
5 Os 0.000 0.000 0.000

=====

Entry 4:
The following is a PBE calculation of a geometry-optimized ReOs2RhI structure, from Alexandria via LeMat-Bulk.

Properties
E_form (uncorrected)	2.54	eV per atom
raw total energy	-31.1	eV/cell
symmetry	P4/mmm (123)
density	12.392	g/cm3

a b c (Å): 4.750 4.731 4.750
angles (deg): 90.00 90.00 90.00
Fractional positions:
1 Os 0.500 0.000 0.000
2 Os 0.000 0.000 0.500
3 Re 0.000 0.500 0.000
4 I 0.500 0.500 0.500
5 Rh 0.000 0.000 0.000

=====

Entry 5:
The following is a PBE calculation of a geometry-optimized ReSb2OsI structure, from Alexandria via LeMat-Bulk.

Properties
E_form (uncorrected)	1.26	eV per atom
raw total energy	-27.2	eV/cell
symmetry	P4/mmm (123)
offset from the most stable computed form	0.0000	eV/atom
density	9.110	g/cm3

a b c (Å): 5.225 4.986 5.225
angles (deg): 90.00 90.00 90.00
Fractional positions:
1 Sb 0.000 0.000 0.500
2 Sb 0.500 0.000 0.000
3 I 0.500 0.500 0.500
4 Os 0.000 0.000 0.000
5 Re 0.000 0.500 0.000

=====

Entry 6:
The following is a PBE calculation of a geometry-optimized Re2SbOsI structure, from Alexandria via LeMat-Bulk.

Properties
E_form (uncorrected)	3.32	eV per atom
raw total energy	-25.2	eV/cell
symmetry	P4/mmm (123)
density	10.854	g/cm3

a b c (Å): 4.790 5.409 4.790
angles (deg): 90.00 90.00 90.00
Fractional positions:
1 Re 0.500 0.000 0.000
2 Re 0.000 0.000 0.500
3 Os 0.500 0.500 0.500
4 Sb 0.000 0.500 0.000
5 I 0.000 0.000 0.000

=====

Entry 7:
The following is a PBE calculation of a geometry-optimized ReSb2OsI structure, from Alexandria via LeMat-Bulk.

Properties
E_form (uncorrected)	1.69	eV per atom
raw total energy	-25.0	eV/cell
symmetry	P4/mmm (123)
offset from the most stable computed form	0.4294	eV/atom
density	8.650	g/cm3

a b c (Å): 5.069 5.069 5.579
angles (deg): 90.00 90.00 90.00
Fractional positions:
1 Re 0.500 0.500 0.500
2 I 0.000 0.000 0.500
3 Os 0.000 0.000 0.000
4 Sb 0.500 0.000 0.000
5 Sb 0.000 0.500 0.000

=====

Entry 8:
The following is a PBE calculation of a geometry-optimized ReSb2OsI structure, from Alexandria via LeMat-Bulk.

Properties
E_form (uncorrected)	1.79	eV per atom
raw total energy	-24.5	eV/cell
symmetry	P4/mmm (123)
offset from the most stable computed form	0.5364	eV/atom
density	8.665	g/cm3

a b c (Å): 5.089 5.089 5.526
angles (deg): 90.00 90.00 90.00
Fractional positions:
1 Sb 0.000 0.500 0.000
2 Sb 0.500 0.000 0.000
3 Re 0.000 0.000 0.000
4 I 0.000 0.000 0.500
5 Os 0.500 0.500 0.500